Compound: LiCrF2
Source: Alexandria
Functional: GGA+U
Structure: relaxed

As for the total magnetization: 20.0 μB per cell. As for the final energy: -5.062 eV/atom.

The space group is Fm-3m (No. 225) and the conventional cell measures 5.6793, 5.6793 and 5.6793 Å, with angles of 90.00, 90.00 and 90.00 degrees. The inequivalent atoms are Li at (0.0000, 0.0000, 0.0000), Cr at (0.0000, 0.0000, 0.5000) and F at (0.2500, 0.2500, 0.2500).